A crystal of ZrNi5B2O10 relaxed with PBEsol, computed with SCAN.

Computed properties:
As for the size of the total moment: 20.00 μB/cell. The value obtained for the formation energy from raw total energies is -2.038 eV per atom. As for the crystal system: orthorhombic.

Cell: 3.0858 9.0565 12.3211 Å, 90.00 90.00 90.00°
With the nearest neighbours (Å) after each atom.
Fractional positions:
Zr 0.0000 0.0095 0.6132  6 O 2.04-2.12
Zr 0.0000 0.9905 0.1132  6 O 2.04-2.12
Ni 0.5000 0.2671 0.2208  3 O 1.90-2.08
Ni 0.5000 0.2602 0.7863  6 O 1.93-2.15
Ni 0.5000 0.7398 0.2863  6 O 1.93-2.15
Ni 0.5000 0.7329 0.7208  3 O 1.90-2.08
Ni 0.5000 0.2595 0.4958  6 O 1.95-2.15
Ni 0.5000 0.7405 0.9958  6 O 1.95-2.15
Ni 0.0000 0.7384 0.4970  6 O 2.00-2.12
Ni 0.0000 0.2616 0.9970  6 O 2.00-2.12
Ni 0.0000 0.4873 0.3859  6 O 1.94-2.12
Ni 0.0000 0.5127 0.8859  6 O 1.94-2.12
B 0.0000 0.5292 0.1407  3 O 1.39-1.40
B 0.0000 0.9750 0.8587  3 O 1.37-1.39
B 0.0000 0.0250 0.3587  3 O 1.37-1.39
B 0.0000 0.4708 0.6407  3 O 1.39-1.40
O 0.0000 0.3752 0.1406  1 B 1.40
O 0.0000 0.1263 0.8571  1 B 1.37
O 0.0000 0.8737 0.3571  1 B 1.37
O 0.0000 0.6248 0.6406  1 B 1.40
O 0.0000 0.3943 0.5431  1 B 1.39
O 0.0000 0.1030 0.4556  1 B 1.39
O 0.0000 0.8970 0.9556  1 B 1.39
O 0.0000 0.6057 0.0431  1 B 1.39
O 0.5000 0.3635 0.3576  4 Ni 1.90-1.95
O 0.5000 0.1492 0.6482  2 Ni 1.98-2.13, 2 Zr 2.04
O 0.5000 0.8508 0.1482  2 Ni 1.98-2.13, 2 Zr 2.04
O 0.5000 0.6365 0.8576  4 Ni 1.90-1.95
O 0.0000 0.6020 0.2397  1 B 1.39
O 0.0000 0.8945 0.7630  1 B 1.39
O 0.0000 0.1055 0.2630  1 B 1.39
O 0.0000 0.3980 0.7397  1 B 1.39
O 0.5000 0.6388 0.4242  5 Ni 1.93-2.12
O 0.5000 0.8619 0.5725  2 Zr 2.10, 3 Ni 2.12-2.17
O 0.5000 0.1381 0.0725  2 Zr 2.10, 3 Ni 2.12-2.17
O 0.5000 0.3612 0.9242  5 Ni 1.93-2.12

A crystal of UP2S6 relaxed with PBEsol, computed with SCAN.

Computed properties:
As for the size of the total moment: 4.00 μB/cell. The value obtained for the formation energy from raw total energies is -0.708 eV per atom. As for the crystal system: tetragonal.

Cell: 6.8867 6.8867 9.5236 Å, 90.00 90.00 90.00°
With the nearest neighbours (Å) after each atom.
Fractional positions:
U 0.0000 0.0000 0.7500  8 S 2.72-2.92
U 0.0000 0.0000 0.2500  8 S 2.72-2.92
P 0.0609 0.3461 0.5000  3 S 2.01-2.04
P 0.9391 0.6539 0.5000  3 S 2.01-2.04
P 0.3461 0.9391 0.0000  3 S 2.01-2.04
P 0.6539 0.0609 0.0000  3 S 2.01-2.04
S 0.2141 0.3162 0.6789  1 P 2.01
S 0.6838 0.2141 0.1789  1 P 2.01
S 0.1694 0.1775 0.0000  1 P 2.04
S 0.8225 0.1694 0.5000  1 P 2.04
S 0.1775 0.8306 0.5000  1 P 2.04
S 0.8306 0.8225 0.0000  1 P 2.04
S 0.2141 0.3162 0.3211  1 P 2.01
S 0.6838 0.2141 0.8211  1 P 2.01
S 0.3162 0.7859 0.8211  1 P 2.01
S 0.7859 0.6838 0.3211  1 P 2.01
S 0.7859 0.6838 0.6789  1 P 2.01
S 0.3162 0.7859 0.1789  1 P 2.01

A crystal of EuAu2 relaxed with PBEsol, computed with SCAN.

Computed properties:
As for the size of the total moment: 14.24 μB/cell. The calculation puts the formation enthalpy at 0 K at -0.911 eV per atom. As for the crystal system: orthorhombic.

Cell: 4.6572 5.8720 5.8720 Å, 73.92 66.64 66.64°
With the nearest neighbours (Å) after each atom.
Fractional positions:
Eu 0.5392 0.2108 0.7108  12 Au 3.19-3.40
Eu 0.4608 0.7892 0.2892  12 Au 3.19-3.40
Au 0.1628 0.3792 0.2951  4 Au 2.72-2.94
Au 0.8372 0.6208 0.7049  4 Au 2.72-2.94
Au 0.1628 0.7951 0.8792  4 Au 2.72-2.94
Au 0.8372 0.2049 0.1208  4 Au 2.72-2.94

A crystal of Tc2AsPb relaxed with PBEsol, computed with SCAN.

Computed properties:
As for the size of the total moment: 0.01 μB/cell. As for the excess energy over the best structure of this formula in the dataset: 0.168 eV per atom. The calculation puts the formation enthalpy at 0 K at 0.519 eV per atom. As for the crystal system: tetragonal.

Cell: 3.1955 4.4894 4.4894 Å, 90.00 90.00 90.00°
With the nearest neighbours (Å) after each atom.
Fractional positions:
Pb 0.5000 0.0000 0.0000  8 Tc 2.76
As 0.5000 0.5000 0.5000  8 Tc 2.76
Tc 0.0000 0.0000 0.5000  4 Pb 2.76, 4 As 2.76
Tc 0.0000 0.5000 0.0000  4 As 2.76, 4 Pb 2.76

A crystal of Tl2InAg relaxed with PBEsol, computed with SCAN.

Computed properties:
As for the size of the total moment: 0.00 μB/cell. As for the excess energy over the best structure of this formula in the dataset: 0.000 eV per atom. The calculation puts the formation enthalpy at 0 K at 0.061 eV per atom. As for the crystal system: tetragonal.

Cell: 3.2683 3.2683 9.0212 Å, 90.00 90.00 90.00°
With the nearest neighbours (Å) after each atom.
Fractional positions:
Tl 0.0000 0.0000 0.9863  8 Tl 3.27-3.56, 4 In 3.38
Tl 0.5000 0.5000 0.2860  4 Ag 3.10, 4 Tl 3.27
Ag 0.0000 0.0000 0.5150  4 In 2.92, 4 Tl 3.10, 4 Ag 3.27
In 0.5000 0.5000 0.7127  4 Ag 2.92, 4 In 3.27

A crystal of Cd2POs relaxed with PBEsol, computed with SCAN.

Computed properties:
As for the size of the total moment: 0.00 μB/cell. As for the excess energy over the best structure of this formula in the dataset: 0.000 eV per atom. The calculation puts the formation enthalpy at 0 K at 0.181 eV per atom. As for the crystal system: orthorhombic.

Cell: 3.6327 4.0653 5.3216 Å, 112.46 90.00 90.00°
With the nearest neighbours (Å) after each atom.
Fractional positions:
Cd 0.0000 0.9719 0.9437  3 Os 2.79-2.95, 4 P 2.86
Cd 0.5000 0.2820 0.5639  3 P 2.72-2.99, 4 Os 2.88
Os 0.0000 0.6886 0.3771  2 P 2.22
P 0.5000 0.5586 0.1172  2 Os 2.22

A crystal of CuSb2Te relaxed with PBEsol, computed with SCAN.

Computed properties:
As for the size of the total moment: 0.00 μB/cell. The value obtained for the formation energy from raw total energies is 0.202 eV per atom. As for the crystal system: orthorhombic.

Cell: 3.2729 4.9357 6.4891 Å, 112.35 104.61 90.00°
With the nearest neighbours (Å) after each atom.
Fractional positions:
Cu 0.0000 0.5000 0.0000  4 Sb 2.70, 4 Te 2.96
Sb 0.6864 0.6864 0.3728  2 Cu 2.70
Sb 0.3136 0.3136 0.6272  2 Cu 2.70
Te 0.5000 0.0000 0.0000  4 Cu 2.96, 2 Te 3.27, 4 Sb 3.27

A crystal of CrP2ICl relaxed with PBEsol, computed with SCAN.

Computed properties:
As for the size of the total moment: 3.68 μB/cell. The value obtained for the formation energy from raw total energies is 1.274 eV per atom. As for the crystal system: tetragonal.

Cell: 5.0903 5.0903 5.1363 Å, 90.00 90.00 90.00°
With the nearest neighbours (Å) after each atom.
Fractional positions:
I 0.0000 0.0000 0.0000  4 P 2.55, 2 Cl 2.57
Cr 0.5000 0.5000 0.5000  4 Cl 3.60, 8 P 3.62
P 0.0000 0.5000 0.0000  2 I 2.55
P 0.5000 0.0000 0.0000  2 I 2.55
Cl 0.0000 0.0000 0.5000  2 I 2.57

A crystal of Ga2As2W relaxed with PBEsol, computed with SCAN.

Computed properties:
As for the size of the total moment: 0.00 μB/cell. The calculation puts the formation enthalpy at 0 K at 0.441 eV per atom. As for the crystal system: tetragonal.

Cell: 3.3458 3.3458 8.4027 Å, 101.48 101.48 90.00°
With the nearest neighbours (Å) after each atom.
Fractional positions:
As 0.4144 0.4144 0.8287  4 W 2.74, 1 As 2.76
As 0.5856 0.5856 0.1713  4 W 2.74, 1 As 2.76
Ga 0.2500 0.7500 0.5000  4 Ga 2.37
Ga 0.7500 0.2500 0.5000  4 Ga 2.37
W 0.0000 0.0000 0.0000  8 As 2.74

A crystal of Li3BO3 relaxed with PBEsol, computed with SCAN.

Computed properties:
As for the size of the total moment: 0.00 μB/cell. The value obtained for the formation energy from raw total energies is -2.460 eV per atom. As for the crystal system: monoclinic.

Cell: 3.2314 8.2651 9.1707 Å, 90.00 90.00 100.81°
With the nearest neighbours (Å) after each atom.
Fractional positions:
Li 0.5067 0.9813 0.2339  4 O 1.94-2.03
Li 0.4933 0.5187 0.7339  4 O 1.94-2.03
Li 0.4933 0.0187 0.7661  4 O 1.94-2.03
Li 0.5067 0.4813 0.2661  4 O 1.94-2.03
Li 0.7235 0.8874 0.4770  4 O 1.93-1.94
Li 0.2765 0.6126 0.9770  4 O 1.93-1.94
Li 0.2765 0.1126 0.5230  4 O 1.93-1.94
Li 0.7235 0.3874 0.0230  4 O 1.93-1.94
Li 0.0920 0.6322 0.4264  4 O 1.95-2.00
Li 0.9080 0.8678 0.9264  4 O 1.95-2.00
Li 0.9080 0.3678 0.5736  4 O 1.95-2.00
Li 0.0920 0.1322 0.0736  4 O 1.95-2.00
B 0.8027 0.7457 0.1856  3 O 1.38-1.40
B 0.1973 0.7543 0.6856  3 O 1.38-1.40
B 0.1973 0.2543 0.8144  3 O 1.38-1.40
B 0.8027 0.2457 0.3144  3 O 1.38-1.40
O 0.9741 0.9018 0.1366  1 B 1.38
O 0.0259 0.5982 0.6366  1 B 1.38
O 0.0259 0.0982 0.8634  1 B 1.38
O 0.9741 0.4018 0.3634  1 B 1.38
O 0.7733 0.6108 0.0933  1 B 1.39
O 0.2267 0.8892 0.5933  1 B 1.39
O 0.2267 0.3892 0.9067  1 B 1.39
O 0.7733 0.1108 0.4067  1 B 1.39
O 0.6341 0.7220 0.3260  1 B 1.40
O 0.3659 0.7780 0.8260  1 B 1.40
O 0.3659 0.2780 0.6740  1 B 1.40
O 0.6341 0.2220 0.1740  1 B 1.40

A crystal of TcTe2 relaxed with PBEsol, computed with SCAN.

Computed properties:
As for the size of the total moment: 0.00 μB/cell. The value obtained for the formation energy from raw total energies is 0.728 eV per atom. As for the crystal system: hexagonal.

Cell: 4.7765 4.7765 6.2268 Å, 90.00 90.00 120.00°
With the nearest neighbours (Å) after each atom.
Fractional positions:
Tc 0.6667 0.3333 0.7500  3 Te 2.76
Tc 0.3333 0.6667 0.2500  3 Te 2.76
Te 0.0000 0.0000 0.0000  8 Te 3.11-3.17, 6 Tc 3.17
Te 0.0000 0.0000 0.5000  8 Te 3.11-3.17, 6 Tc 3.17
Te 0.6667 0.3333 0.2500  3 Tc 2.76
Te 0.3333 0.6667 0.7500  3 Tc 2.76